Version A
Material: TlIn2Mo
Method: DFT, PBE
State: optimized geometry

Lattice parameters (Å, degrees): 3.1163 4.6806 5.9615 90.00 90.00 90.00
Last column: nearest neighbours and their distance in Å.
Positions (direct):
Tl (0.0000, 0.0000, 0.0000)  2 Mo 2.98, 2 Tl 3.12, 8 In 3.23
In (0.5000, 0.5000, 0.2656)  3 In 2.80-3.12
In (0.5000, 0.5000, 0.7344)  3 In 2.80-3.12
Mo (0.0000, 0.0000, 0.5000)  2 Tl 2.98, 2 Mo 3.12, 8 In 3.14

Summary:
Crystal system: orthorhombic
Space group: No. 47



Version B
Material: TlIn2Mo
Method: DFT, PBE
State: optimized geometry

Lattice parameters (Å, degrees): 5.3996 5.3996 3.1642 90.00 90.00 111.14
Last column: nearest neighbours and their distance in Å.
Positions (direct):
Tl (0.0000, 0.0000, 0.0000)  2 Mo 3.05, 8 In 3.13, 2 Tl 3.16
In (0.0000, 0.5000, 0.5000)  4 In 3.05-3.16, 4 Tl 3.13, 4 Mo 3.13
In (0.5000, 0.0000, 0.5000)  4 In 3.05-3.16, 4 Tl 3.13, 4 Mo 3.13
Mo (0.5000, 0.5000, 0.0000)  2 Tl 3.05, 8 In 3.13, 2 Mo 3.16

Summary:
Crystal system: orthorhombic
Space group: No. 65



Bottom line: version A, by a margin of 0.059 eV/atom.